Entry from Alexandria: Sc3Al2 after structural relaxation (PBE).

ΔE to the lowest computed polymorph in meV per atom: 191
ΔE_f in eV per atom: -0.162
N(E_F) in states/eV/cell: 7.5

abc: 4.6980 4.6980 5.8860
angles: 90.00 90.00 120.00
Space group P-3m1 (No. 164)
One atom of each set of equivalent atoms:
Sc 0.0000 0.0000 0.0000 (multiplicity 1)
Sc 0.3333 0.6667 0.3529 (multiplicity 2)
Al 0.3333 0.6667 0.8440 (multiplicity 2)